BaTaMn | SCAN | single point on PBEsol structure

DOS(E_F) ... 2.2 states/eV per cell
Formation energy from the elements ... 0.994 eV/atom
Total DFT energy (no corrections) ... -40.4684 eV per atom

a b c (Å): 3.977 3.977 5.525
angles (deg): 90.00 90.00 120.00
Each line ends with the local moment (μB).
Element x y z (fractional)
Ba: 0.000 0.000 0.500  -0.05
Mn: 0.333 0.667 0.000  1.99
Ta: 0.667 0.333 0.000  -0.95